Record 1
Entry from Alexandria via LeMat-Bulk: a geometry-optimized YSc2Ga structure (PBE).

Calculated values
- E_tot (eV/cell) = -66.477
- calculated formation energy (eV/atom) = -0.001
- DOS(E_F) (states/eV/cell) = 15.5

a b c (Å): 3.3157 3.3157 31.9196
angles (deg): 90.00 90.00 120.00
Space group R-3m (No. 166, hexagonal axes)
Unique sites:
1 Y 0.0000 0.0000 0.0000 [3 per cell]
2 Sc 0.0000 0.0000 0.1015 [6 per cell]
3 Ga 0.0000 0.0000 0.5000 [3 per cell]

Record 2
Entry from Alexandria via LeMat-Bulk: a geometry-optimized YSc4Ga4 structure (PBE).

Calculated values
- E_tot (eV/cell) = -93.841
- calculated formation energy (eV/atom) = -0.336
- DOS(E_F) (states/eV/cell) = 14.7

a b c (Å): 8.838 8.838 5.529
angles (deg): 90.00 90.00 90.00
Space group P4_2/n (No. 86, origin choice 2)
Unique sites:
1 Y 0.250 0.250 0.250 [2 per cell]
2 Sc 0.087 0.649 0.131 [8 per cell]
3 Ga 0.037 0.609 0.635 [8 per cell]

Record 3
Entry from Alexandria via LeMat-Bulk: a geometry-optimized YScGa2 structure (PBE).

Calculated values
- ΔE to the lowest computed polymorph (eV per atom) = 0.037
- E_tot (eV/cell) = -84.674
- calculated formation energy (eV/atom) = -0.580
- DOS(E_F) (states/eV/cell) = 7.5

a b c (Å): 6.949 6.949 6.949
angles (deg): 90.00 90.00 90.00
Space group Fm-3m (No. 225)
Unique sites:
1 Y 0.000 0.000 0.000 [4 per cell]
2 Sc 0.000 0.000 0.500 [4 per cell]
3 Ga 0.250 0.250 0.250 [8 per cell]

Record 4
Entry from Alexandria via LeMat-Bulk: a geometry-optimized Y2ScGa structure (PBE).

Calculated values
- E_tot (eV/cell) = -23.363
- calculated formation energy (eV/atom) = -0.269
- DOS(E_F) (states/eV/cell) = 5.7

a b c (Å): 3.492 3.492 8.569
angles (deg): 90.00 90.00 90.00
Space group P4/mmm (No. 123)
Unique sites:
1 Y 0.000 0.000 0.219 [2 per cell]
2 Sc 0.500 0.500 0.500 [1 per cell]
3 Ga 0.500 0.500 0.000 [1 per cell]

Record 5
Entry from Alexandria via LeMat-Bulk: a geometry-optimized YSc3Ga2 structure (PBE).

Calculated values
- ΔE to the lowest computed polymorph (eV per atom) = 0.054
- E_tot (eV/cell) = -135.880
- calculated formation energy (eV/atom) = -0.410
- DOS(E_F) (states/eV/cell) = 22.0

a b c (Å): 16.739 4.409 8.831
angles (deg): 90.00 121.82 90.00
Space group C2/m (No. 12)
Unique sites:
1 Y 0.126 0.000 0.126 [4 per cell]
2 Sc 0.000 0.000 0.331 [4 per cell]
3 Sc 0.171 0.500 0.478 [4 per cell]
4 Sc 0.171 0.500 0.864 [4 per cell]
5 Ga 0.000 0.500 0.144 [4 per cell]
6 Ga 0.206 0.000 0.705 [4 per cell]

Record 6
Entry from Alexandria via LeMat-Bulk: a geometry-optimized Sc2ZnGa structure (PBE).

Calculated values
- ΔE to the lowest computed polymorph (eV per atom) = 0.000
- E_tot (eV/cell) = -76.126
- calculated formation energy (eV/atom) = -0.517
- DOS(E_F) (states/eV/cell) = 12.8

a b c (Å): 6.694 6.694 6.694
angles (deg): 90.00 90.00 90.00
Space group Fm-3m (No. 225)
Unique sites:
1 Sc 0.250 0.250 0.250 [8 per cell]
2 Zn 0.000 0.000 0.000 [4 per cell]
3 Ga 0.000 0.000 0.500 [4 per cell]

Record 7
Entry from Alexandria via LeMat-Bulk: a geometry-optimized Sc2ZnGa structure (PBE).

Calculated values
- ΔE to the lowest computed polymorph (eV per atom) = 0.006
- E_tot (eV/cell) = -19.006
- calculated formation energy (eV/atom) = -0.510
- DOS(E_F) (states/eV/cell) = 3.2

a b c (Å): 4.748 4.748 3.332
angles (deg): 90.00 90.00 90.00
Space group P4/mmm (No. 123)
Unique sites:
1 Sc 0.000 0.500 0.000 [2 per cell]
2 Zn 0.000 0.000 0.500 [1 per cell]
3 Ga 0.500 0.500 0.500 [1 per cell]

Record 8
Entry from Alexandria via LeMat-Bulk: a geometry-optimized Sc4ZnGa structure (PBE).

Calculated values
- ΔE to the lowest computed polymorph (eV per atom) = 0.212
- E_tot (eV/cell) = -60.499
- calculated formation energy (eV/atom) = -0.104
- DOS(E_F) (states/eV/cell) = 16.5

a b c (Å): 8.026 4.634 8.049
angles (deg): 90.00 109.49 90.00
Space group C2/m (No. 12)
Unique sites:
1 Sc 0.124 0.000 0.372 [4 per cell]
2 Sc 0.126 0.500 0.877 [4 per cell]
3 Zn 0.000 0.000 0.000 [2 per cell]
4 Ga 0.000 0.500 0.500 [2 per cell]

Record 9
Entry from Alexandria via LeMat-Bulk: a geometry-optimized Sc2Zn2Ga3 structure (PBE).

Calculated values
- E_tot (eV/cell) = -109.405
- calculated formation energy (eV/atom) = -0.437
- DOS(E_F) (states/eV/cell) = 11.9

a b c (Å): 4.105 18.077 6.762
angles (deg): 90.00 90.00 90.00
Space group Cmcm (No. 63)
Unique sites:
1 Sc 0.000 0.048 0.250 [4 per cell]
2 Sc 0.000 0.154 0.750 [4 per cell]
3 Zn 0.000 0.312 0.557 [8 per cell]
4 Ga 0.000 0.225 0.250 [4 per cell]
5 Ga 0.000 0.439 0.068 [8 per cell]

Record 10
Entry from Alexandria via LeMat-Bulk: a geometry-optimized Sc2Zn15Ga2 structure (PBE).

Calculated values
- E_tot (eV/cell) = -122.663
- calculated formation energy (eV/atom) = -0.161
- DOS(E_F) (states/eV/cell) = 22.2

a b c (Å): 8.9912 8.9912 12.8747
angles (deg): 90.00 90.00 120.00
Space group R-3m (No. 166, hexagonal axes)
Unique sites:
1 Sc 0.0000 0.0000 0.1670 [6 per cell]
2 Zn 0.0000 0.3195 0.5000 [18 per cell]
3 Zn 0.0000 0.5000 0.0000 [9 per cell]
4 Zn 0.0136 0.5068 0.6584 [18 per cell]
5 Ga 0.0000 0.0000 0.4005 [6 per cell]

Record 11
Entry from Alexandria via LeMat-Bulk: a geometry-optimized ScZn4Ga structure (PBE).

Calculated values
- E_tot (eV/cell) = -15.814
- calculated formation energy (eV/atom) = -0.227
- DOS(E_F) (states/eV/cell) = 2.2

a b c (Å): 4.4289 4.4289 5.8737
angles (deg): 90.00 90.00 120.00
Space group P6/mmm (No. 191)
Unique sites:
1 Sc 0.0000 0.0000 0.0000 [1 per cell]
2 Zn 0.3333 0.6667 0.2425 [4 per cell]
3 Ga 0.0000 0.0000 0.5000 [1 per cell]

Record 12
Entry from Alexandria via LeMat-Bulk: a geometry-optimized Sc3ZnGa2 structure (PBE).

Calculated values
- ΔE to the lowest computed polymorph (eV per atom) = 0.010
- E_tot (eV/cell) = -29.538
- calculated formation energy (eV/atom) = -0.536
- DOS(E_F) (states/eV/cell) = 3.9

a b c (Å): 3.338 3.338 10.123
angles (deg): 90.00 90.00 90.00
Space group P4/mmm (No. 123)
Unique sites:
1 Sc 0.000 0.000 0.000 [1 per cell]
2 Sc 0.000 0.000 0.337 [2 per cell]
3 Zn 0.500 0.500 0.500 [1 per cell]
4 Ga 0.500 0.500 0.171 [2 per cell]